(1)
PrSm3Te4 | Alexandria | PBE | optimized geometry; uncorrected formation energy = -1.40 eV/atom; space-group type = No. 65; polymorph energy (0 for the lowest one) = 0.000 eV/atom
1.0
4.514 -6.317 0.000
4.514 6.317 0.000
0.000 0.000 4.418
Pr Sm Te
1 3 4
Cartesian
0.000 0.000 0.000
2.257 3.159 2.209
2.257 -3.159 2.209
4.514 0.000 0.000
4.514 3.129 0.000
2.299 0.000 2.209
6.730 0.000 2.209
4.514 -3.129 0.000



(2)
TlAgSn | Alexandria | PBE | optimized geometry; calculated formation energy = 5.8 kJ per mole of atoms; space-group type = No. 8; polymorph energy (0 for the lowest one) = 0.029 eV/atom
1.0
5.007 -4.728 0.000
5.007 4.728 0.000
-1.233 0.000 3.337
Tl Ag Sn
2 2 2
Cartesian
0.000 0.000 0.000
6.517 0.000 0.557
5.810 2.560 2.197
5.810 -2.560 2.197
3.401 1.482 1.258
3.401 -1.482 1.258



> Number 2 is which compound?

TlAgSn